No. 1
Material: BaHgGe
Method: DFT, GGA-PBE
State: relaxed

Values from the calculation:
density = 6.1 g cm⁻³
V = 111.65 Å³/f.u.
energy of formation from the pure elements = -0.2226 eV/atom

Unit cell a=6.060 b=13.215 c=5.577 alpha=90.00 beta=90.00 gamma=90.00
Space group Cmc2_1 (No. 36)
Symmetry-distinct sites (fractional):
Ba: 0.000 0.153 0.000 x4
Hg: 0.000 0.410 0.774 x4
Ge: 0.000 0.385 0.250 x4

***

No. 2
Material: Li2LaAlH8
Method: DFT, GGA-PBE
State: relaxed

Values from the calculation:
density = 2.8 g cm⁻³
total energy = -43.29 eV for the cell shown
V = 112.89 Å³/f.u.

Unit cell a=4.501 b=4.522 c=5.798 alpha=89.71 beta=73.49 gamma=86.37
Space group P-1 (No. 2)
Symmetry-distinct sites (fractional):
Li: 0.068 0.480 0.248 x2
La: 0.500 0.000 0.500 x1
Al: 0.000 0.000 0.000 x1
H: 0.074 0.039 0.288 x2
H: 0.221 0.281 0.868 x2
H: 0.285 0.514 0.465 x2
H: 0.321 0.770 0.881 x2

***

No. 3
Material: CaY2Br
Method: DFT, GGA-PBE
State: relaxed

Values from the calculation:
density = 3.9 g cm⁻³
V = 126.93 Å³/f.u.
formation energy without anion corrections = -0.517 eV per atom
ΔE to the lowest computed polymorph = 0.030 eV per atom

Unit cell a=4.058 b=6.078 c=10.293 alpha=90.00 beta=90.00 gamma=90.00
Space group Cmm2 (No. 35)
Symmetry-distinct sites (fractional):
Ca: 0.000 0.000 0.000 x2
Y: 0.000 0.000 0.458 x2
Y: 0.000 0.500 0.716 x2
Br: 0.000 0.500 0.228 x2

***

No. 4
Material: ScH6Br3N2
Method: DFT, GGA-PBE
State: relaxed

Values from the calculation:
density = 2.6 g cm⁻³
total energy = -235.86 eV for the cell shown
V = 204.30 Å³/f.u.

Unit cell a=7.330 b=10.621 c=11.624 alpha=73.51 beta=88.92 gamma=70.89
Space group P-1 (No. 2)
Symmetry-distinct sites (fractional):
Sc: 0.109 0.227 0.196 x2
Sc: 0.356 0.814 0.299 x2
H: 0.201 0.465 0.200 x2
H: 0.215 0.458 0.060 x2
H: 0.247 0.294 0.609 x2
H: 0.249 0.292 0.751 x2
H: 0.254 0.789 0.073 x2
H: 0.272 0.782 0.544 x2
H: 0.289 0.938 0.488 x2
H: 0.289 0.939 0.048 x2
H: 0.296 0.418 0.647 x2
H: 0.394 0.360 0.162 x2
H: 0.476 0.797 0.064 x2
H: 0.488 0.802 0.535 x2
Br: 0.002 0.002 0.743 x2
Br: 0.125 0.225 0.969 x2
Br: 0.143 0.222 0.422 x2
Br: 0.244 0.603 0.836 x2
Br: 0.266 0.594 0.359 x2
Br: 0.481 0.037 0.236 x2
N: 0.246 0.398 0.148 x2
N: 0.319 0.313 0.674 x2
N: 0.344 0.835 0.096 x2
N: 0.353 0.835 0.491 x2

***

No. 5
Material: GePRh2
Method: DFT, GGA-PBE
State: relaxed

Values from the calculation:
density = 8.4 g cm⁻³
V = 61.35 Å³/f.u.
energy of formation from the pure elements = -0.4073 eV/atom

Unit cell a=3.7897 b=3.7897 c=14.7977 alpha=90.00 beta=90.00 gamma=120.00
Space group R3m (No. 160, hexagonal axes)
Symmetry-distinct sites (fractional):
Ge: 0.0000 0.0000 0.0000 x3
P: 0.0000 0.0000 0.1718 x3
Rh: 0.0000 0.0000 0.5645 x3
Rh: 0.0000 0.0000 0.7719 x3

***

No. 6
Material: HfTiTcRu
Method: DFT, GGA-PBE
State: relaxed

Values from the calculation:
density = 11.0 g cm⁻³
V = 64.08 Å³/f.u.
energy of formation from the pure elements = -0.6267 eV/atom
ΔE to the lowest computed polymorph = 0.009 eV per atom

Unit cell a=3.174 b=3.174 c=6.363 alpha=90.00 beta=90.00 gamma=90.00
Space group P4mm (No. 99)
Symmetry-distinct sites (fractional):
Hf: 0.000 0.000 0.000 x1
Ti: 0.000 0.000 0.498 x1
Tc: 0.500 0.500 0.262 x1
Ru: 0.500 0.500 0.741 x1

***

No. 7
Material: Cs3Tl5I12
Method: DFT, GGA-PBE
State: relaxed

Values from the calculation:
density = 4.4 g cm⁻³
V = 1107.04 Å³/f.u.
formation energy without anion corrections = -0.751 eV per atom

Unit cell a=20.690 b=20.690 c=20.690 alpha=90.00 beta=90.00 gamma=90.00
Space group Ia-3d (No. 230)
Symmetry-distinct sites (fractional):
Cs: 0.000 0.250 0.125 x24
Tl: 0.000 0.000 0.000 x16
Tl: 0.000 0.250 0.375 x24
I: 0.034 0.056 0.652 x96

***

No. 8
Material: FeHg2MoIr
Method: DFT, GGA-PBE
State: relaxed

Values from the calculation:
density = 9.9 g cm⁻³
V = 125.14 Å³/f.u.
energy of formation from the pure elements = 1.4432 eV/atom

Unit cell a=5.183 b=5.183 c=4.658 alpha=90.00 beta=90.00 gamma=90.00
Space group P4/mmm (No. 123)
Symmetry-distinct sites (fractional):
Fe: 0.000 0.000 0.000 x1
Hg: 0.000 0.500 0.500 x2
Mo: 0.500 0.500 0.000 x1
Ir: 0.000 0.000 0.500 x1

***

No. 9
Material: PrDy2Ag4
Method: DFT, GGA-PBE
State: relaxed

Values from the calculation:
density = 7.9 g cm⁻³
V = 189.51 Å³/f.u.
energy of formation from the pure elements = -0.0696 eV/atom

Unit cell a=7.409 b=7.409 c=6.904 alpha=90.00 beta=90.00 gamma=90.00
Space group I4/mmm (No. 139)
Symmetry-distinct sites (fractional):
Pr: 0.000 0.000 0.000 x2
Dy: 0.000 0.500 0.000 x4
Ag: 0.250 0.250 0.250 x8

***

No. 10
Material: Pr2Tm6Cd
Method: DFT, GGA-PBE
State: relaxed

Values from the calculation:
density = 8.6 g cm⁻³
V = 271.74 Å³/f.u.
energy of formation from the pure elements = 0.0268 eV/atom

Unit cell a=9.740 b=10.237 c=5.451 alpha=90.00 beta=90.00 gamma=90.00
Space group Pnnm (No. 58)
Symmetry-distinct sites (fractional):
Pr: 0.190 0.245 0.000 x4
Tm: 0.017 0.324 0.500 x4
Tm: 0.140 0.896 0.000 x4
Tm: 0.177 0.570 0.000 x4
Cd: 0.000 0.000 0.500 x2